Entry 1:
{"formula": "TbPm2Pu", "functional": "PBE-GGA", "state": "relaxed", "cell": [[-3.469, 3.368, -1.393], [1.321, -0.634, -4.823], [-3.404, -3.691, -0.447]], "species": ["Pu", "Tb", "Pm", "Pm"], "fractional_positions": [[0.500, 0.500, 0.500], [0.500, 0.000, 0.000], [0.000, 0.000, 0.500], [0.000, 0.500, 0.000]], "de_polymorph_mev_per_atom": 38.1, "space_group": "P4/mmm, No. 123", "dft_energy_ev_per_atom": -6.97}

Entry 2:
{"formula": "Tb4Pm3Pu", "functional": "PBE-GGA", "state": "relaxed", "cell": [[3.356, 0.000, -0.812], [-1.199, 10.480, -4.953], [0.290, -2.412, 8.535]], "species": ["Tb", "Tb", "Pu", "Pm", "Tb", "Pm", "Pm", "Tb"], "fractional_positions": [[0.368, 0.620, 0.736], [0.632, 0.380, 0.264], [0.500, 0.000, 0.000], [0.000, 0.500, 0.000], [0.368, 0.116, 0.736], [0.765, 0.765, 0.529], [0.235, 0.235, 0.471], [0.632, 0.884, 0.264]], "space_group": "Immm, No. 71", "dft_energy_ev_per_atom": -5.74}

Entry 3:
{"formula": "Tb7Pm12Pu", "functional": "PBE-GGA", "state": "relaxed", "cell": [[-2.698, 2.630, -9.245], [5.671, -8.207, -0.396], [-8.159, -1.852, 5.447]], "species": ["Pm", "Pm", "Pm", "Pm", "Tb", "Pm", "Pm", "Pm", "Pm", "Pu", "Tb", "Tb", "Pm", "Tb", "Tb", "Tb", "Tb", "Pm", "Pm", "Pm"], "fractional_positions": [[0.500, 0.749, 0.751], [0.249, 0.998, 0.749], [0.751, 0.500, 0.749], [0.002, 0.251, 0.751], [0.500, 0.500, 0.000], [0.751, 0.002, 0.251], [0.998, 0.749, 0.249], [0.251, 0.751, 0.002], [0.749, 0.249, 0.998], [0.000, 0.000, 0.000], [0.000, 0.500, 0.000], [0.500, 0.000, 0.500], [0.251, 0.249, 0.500], [0.500, 0.000, 0.000], [0.000, 0.500, 0.500], [0.500, 0.500, 0.500], [0.000, 0.000, 0.500], [0.249, 0.500, 0.251], [0.500, 0.251, 0.249], [0.749, 0.751, 0.500]], "space_group": "Im-3, No. 204", "dft_energy_ev_per_atom": -4.49}

Entry 4:
{"formula": "TbPm14Pu", "functional": "PBE-GGA", "state": "relaxed", "cell": [[7.206, 0.967, 0.000], [-0.967, 7.206, 0.000], [0.000, 0.000, 10.234]], "species": ["Pm", "Pm", "Pm", "Pm", "Tb", "Pm", "Pm", "Pm", "Pm", "Pu", "Pm", "Pm", "Pm", "Pm", "Pm", "Pm"], "fractional_positions": [[0.375, 0.625, 0.500], [0.375, 0.125, 0.500], [0.627, 0.373, 0.754], [0.626, 0.876, 0.754], [0.375, 0.625, 0.000], [0.124, 0.374, 0.754], [0.875, 0.625, 0.000], [0.124, 0.876, 0.247], [0.627, 0.373, 0.246], [0.875, 0.125, 0.000], [0.375, 0.125, 0.000], [0.875, 0.125, 0.500], [0.124, 0.374, 0.246], [0.124, 0.876, 0.753], [0.626, 0.876, 0.246], [0.875, 0.625, 0.500]], "space_group": "P4/mmm, No. 123", "dft_energy_ev_per_atom": -5.30}

Entry 5:
{"formula": "TbPm2Pu", "functional": "PBE-GGA", "state": "relaxed", "cell": [[-2.017, 1.444, 2.603], [-3.135, -1.516, 0.895], [3.684, -6.576, 8.986]], "species": ["Pm", "Tb", "Pm", "Pu"], "fractional_positions": [[0.082, 0.082, 0.754], [0.500, 0.500, 0.500], [0.251, 0.251, 0.247], [0.667, 0.667, 0.000]], "de_polymorph_mev_per_atom": 7.2, "space_group": "R3m, No. 160", "dft_energy_ev_per_atom": -7.00}

Entry 6:
{"formula": "Tb5Pm4Pu", "functional": "PBE-GGA", "state": "relaxed", "cell": [[-2.181, 1.808, -4.094], [7.772, 0.507, -3.916], [-4.061, -8.594, 1.395]], "species": ["Pm", "Tb", "Pm", "Pm", "Tb", "Tb", "Tb", "Pm", "Tb", "Pu"], "fractional_positions": [[0.029, 0.281, 0.058], [0.500, 0.500, 0.000], [0.676, 0.425, 0.351], [0.971, 0.719, 0.942], [0.826, 0.269, 0.651], [0.174, 0.731, 0.349], [0.838, 0.883, 0.677], [0.324, 0.575, 0.649], [0.162, 0.117, 0.323], [0.500, 0.000, 0.000]], "space_group": "C2/m, No. 12", "dft_energy_ev_per_atom": -5.36}

Entry 7:
{"formula": "Tb12Pm5Pu", "functional": "PBE-GGA", "state": "relaxed", "cell": [[-3.429, 3.764, -10.110], [-9.899, 2.251, -2.141], [0.878, 5.641, 1.751]], "species": ["Tb", "Pm", "Tb", "Pu", "Pm", "Tb", "Pm", "Tb", "Tb", "Pm", "Tb", "Tb", "Tb", "Tb", "Tb", "Pm", "Tb", "Tb"], "fractional_positions": [[0.687, 0.000, 0.940], [0.500, 0.000, 0.500], [0.313, 0.000, 0.060], [0.000, 0.000, 0.000], [0.170, 0.659, 0.500], [0.167, 0.000, 0.560], [0.660, 0.679, 0.000], [0.004, 0.333, 0.957], [0.488, 0.670, 0.455], [0.830, 0.341, 0.500], [0.512, 0.330, 0.545], [0.843, 0.670, 0.545], [0.157, 0.330, 0.455], [0.996, 0.667, 0.043], [0.833, 0.000, 0.440], [0.340, 0.321, 0.000], [0.663, 0.333, 0.043], [0.337, 0.667, 0.957]], "space_group": "C2/m, No. 12", "dft_energy_ev_per_atom": -5.08}

Entry 8:
{"formula": "TbPmPu", "functional": "PBE-GGA", "state": "relaxed", "cell": [[-0.489, 1.767, 3.054], [2.346, -2.675, -0.153], [6.189, 5.555, -2.223]], "species": ["Pm", "Tb", "Pu"], "fractional_positions": [[0.333, 0.667, 0.664], [0.000, 0.000, 0.005], [0.667, 0.333, 0.331]], "de_polymorph_mev_per_atom": 15.1, "space_group": "P3m1, No. 156", "dft_energy_ev_per_atom": -7.77}

Entry 9:
{"formula": "Tb3Pm4Pu", "functional": "PBE-GGA", "state": "relaxed", "cell": [[-0.755, 3.214, 1.081], [-9.438, 0.085, -6.841], [1.566, -4.107, 7.720]], "species": ["Pm", "Pm", "Tb", "Tb", "Tb", "Pm", "Pu", "Pm"], "fractional_positions": [[0.631, 0.883, 0.262], [0.631, 0.379, 0.262], [0.234, 0.234, 0.467], [0.766, 0.766, 0.533], [0.000, 0.500, 0.000], [0.369, 0.621, 0.738], [0.500, 0.000, 0.000], [0.369, 0.117, 0.738]], "space_group": "Immm, No. 71", "dft_energy_ev_per_atom": -5.75}

Entry 10:
{"formula": "Tb6Pm2Pu", "functional": "PBE-GGA", "state": "relaxed", "cell": [[-3.360, 5.766, -2.916], [-1.990, 2.720, 8.377], [7.349, 4.888, 1.904]], "species": ["Tb", "Tb", "Tb", "Pm", "Tb", "Tb", "Pu", "Pm", "Pm", "Tb", "Tb", "Pu", "Tb", "Pm", "Tb", "Tb", "Tb", "Tb"], "fractional_positions": [[0.382, 0.367, 0.874], [0.618, 0.633, 0.126], [0.632, 0.595, 0.594], [0.897, 0.797, 0.799], [0.119, 0.630, 0.126], [0.118, 0.126, 0.633], [0.250, 0.997, 0.003], [0.603, 0.201, 0.203], [0.103, 0.203, 0.201], [0.381, 0.874, 0.370], [0.881, 0.370, 0.874], [0.750, 0.003, 0.997], [0.368, 0.405, 0.406], [0.397, 0.799, 0.797], [0.132, 0.594, 0.595], [0.619, 0.126, 0.630], [0.868, 0.406, 0.405], [0.882, 0.874, 0.367]], "space_group": "C2/c, No. 15", "dft_energy_ev_per_atom": -5.55}

Entry 11:
{"formula": "Tb8Pm4Pu", "functional": "PBE-GGA", "state": "relaxed", "cell": [[7.584, -1.155, 1.324], [0.905, 7.618, 1.324], [-1.518, -1.155, 7.548]], "species": ["Tb", "Tb", "Tb", "Tb", "Pu", "Tb", "Tb", "Pm", "Pm", "Tb", "Pm", "Pm", "Tb"], "fractional_positions": [[0.245, 0.757, 0.757], [0.757, 0.245, 0.757], [0.757, 0.757, 0.245], [0.243, 0.755, 0.243], [0.500, 0.500, 0.500], [0.243, 0.243, 0.755], [0.757, 0.757, 0.757], [0.000, 0.000, 0.000], [0.500, 0.000, 0.500], [0.243, 0.243, 0.243], [0.500, 0.500, 0.000], [0.000, 0.500, 0.500], [0.755, 0.243, 0.243]], "space_group": "R-3m, No. 166", "dft_energy_ev_per_atom": -4.88}

Entry 12:
{"formula": "Tb6Pm4Pu", "functional": "PBE-GGA", "state": "relaxed", "cell": [[9.044, 0.416, -0.496], [0.492, 9.040, -0.496], [-0.420, -0.416, 9.048]], "species": ["Tb", "Tb", "Pm", "Pm", "Pu", "Tb", "Tb", "Tb", "Pu", "Pm", "Tb", "Pm", "Tb", "Tb", "Tb", "Tb", "Pm", "Tb", "Pm", "Pm", "Tb", "Pm"], "fractional_positions": [[0.069, 0.947, 0.336], [0.931, 0.053, 0.664], [0.344, 0.156, 0.250], [0.844, 0.250, 0.344], [0.000, 0.000, 0.000], [0.431, 0.836, 0.447], [0.447, 0.569, 0.836], [0.947, 0.664, 0.931], [0.500, 0.500, 0.500], [0.156, 0.750, 0.656], [0.053, 0.336, 0.069], [0.656, 0.844, 0.750], [0.336, 0.931, 0.947], [0.164, 0.447, 0.431], [0.569, 0.164, 0.553], [0.836, 0.553, 0.569], [0.750, 0.344, 0.844], [0.664, 0.069, 0.053], [0.750, 0.750, 0.250], [0.250, 0.656, 0.156], [0.553, 0.431, 0.164], [0.250, 0.250, 0.750]], "space_group": "R-3c, No. 167", "dft_energy_ev_per_atom": -5.21}

Entry 13:
{"formula": "Tb3Pm8Pu", "functional": "PBE-GGA", "state": "relaxed", "cell": [[-0.005, 7.804, -3.209], [-3.258, -6.197, -4.709], [-5.065, -1.563, 6.565]], "species": ["Pm", "Pm", "Tb", "Pm", "Tb", "Pm", "Pm", "Pm", "Pm", "Tb", "Pm", "Pu"], "fractional_positions": [[0.751, 0.112, 0.112], [0.000, 0.789, 0.259], [0.000, 0.500, 0.500], [0.000, 0.888, 0.639], [0.500, 0.250, 0.750], [0.000, 0.639, 0.888], [0.530, 0.741, 0.741], [0.470, 0.211, 0.211], [0.000, 0.259, 0.789], [0.500, 0.750, 0.250], [0.249, 0.361, 0.361], [0.000, 0.000, 0.000]], "space_group": "I-42m, No. 121", "dft_energy_ev_per_atom": -4.98}

Entry 14:
{"formula": "TbPm2Pu", "functional": "PBE-GGA", "state": "relaxed", "cell": [[-1.102, 3.318, -0.004], [-2.206, 1.106, -2.476], [-10.728, -1.713, 6.324]], "species": ["Pu", "Pm", "Tb", "Pm"], "fractional_positions": [[0.000, 0.000, 0.000], [0.088, 0.088, 0.736], [0.500, 0.500, 0.500], [0.912, 0.912, 0.264]], "de_polymorph_mev_per_atom": 151.8, "space_group": "R-3m, No. 166", "dft_energy_ev_per_atom": -6.85}

Entry 15:
{"formula": "Tb6Pm8Pu", "functional": "PBE-GGA", "state": "relaxed", "cell": [[5.892, 0.000, 0.000], [0.000, 8.590, -4.959], [0.000, 0.000, 9.919]], "species": ["Tb", "Tb", "Tb", "Pu", "Pm", "Pm", "Pm", "Pm", "Pm", "Pm", "Tb", "Tb", "Pm", "Tb", "Pm"], "fractional_positions": [[0.252, 0.094, 0.475], [0.748, 0.619, 0.094], [0.252, 0.381, 0.906], [0.500, 0.000, 0.000], [0.766, 0.333, 0.667], [0.234, 0.667, 0.333], [0.240, 0.948, 0.735], [0.760, 0.735, 0.786], [0.240, 0.265, 0.214], [0.760, 0.214, 0.948], [0.748, 0.475, 0.381], [0.252, 0.525, 0.619], [0.760, 0.052, 0.265], [0.748, 0.906, 0.525], [0.240, 0.786, 0.052]], "space_group": "P-3, No. 147", "dft_energy_ev_per_atom": -5.21}

Entry 16:
{"formula": "Tb3Pm6Pu", "functional": "PBE-GGA", "state": "relaxed", "cell": [[4.836, 0.000, -1.823], [0.000, 10.966, 0.000], [-5.496, 0.000, 14.722]], "species": ["Pm", "Pm", "Pm", "Pm", "Pm", "Tb", "Tb", "Tb", "Tb", "Pm", "Tb", "Pm", "Pm", "Pm", "Pm", "Pu", "Pu", "Pm", "Pm", "Tb"], "fractional_positions": [[0.708, 0.790, 0.604], [0.166, 0.307, 0.583], [0.834, 0.693, 0.417], [0.292, 0.210, 0.396], [0.334, 0.807, 0.917], [0.488, 0.079, 0.244], [0.988, 0.421, 0.744], [0.512, 0.921, 0.756], [0.000, 0.000, 0.500], [0.666, 0.193, 0.083], [0.500, 0.500, 0.000], [0.021, 0.884, 0.260], [0.479, 0.384, 0.240], [0.208, 0.710, 0.104], [0.792, 0.290, 0.896], [0.500, 0.500, 0.500], [0.000, 0.000, 0.000], [0.979, 0.116, 0.740], [0.521, 0.616, 0.760], [0.012, 0.579, 0.256]], "space_group": "Pnnm, No. 58", "dft_energy_ev_per_atom": -5.47}

Entry 17:
{"formula": "Tb6Pm12Pu", "functional": "PBE-GGA", "state": "relaxed", "cell": [[-3.257, -7.831, -4.399], [9.511, -0.279, 0.864], [-4.169, 1.108, 8.525]], "species": ["Pu", "Pm", "Pm", "Pm", "Pm", "Pm", "Pm", "Tb", "Pm", "Pm", "Tb", "Tb", "Tb", "Pm", "Pm", "Tb", "Pm", "Tb", "Pm"], "fractional_positions": [[0.000, 0.000, 0.000], [0.419, 0.629, 0.944], [0.371, 0.056, 0.581], [0.944, 0.419, 0.629], [0.896, 0.844, 0.260], [0.156, 0.740, 0.104], [0.844, 0.260, 0.896], [0.470, 0.211, 0.315], [0.740, 0.104, 0.156], [0.581, 0.371, 0.056], [0.315, 0.470, 0.211], [0.530, 0.789, 0.685], [0.685, 0.530, 0.789], [0.104, 0.156, 0.740], [0.629, 0.944, 0.419], [0.211, 0.315, 0.470], [0.260, 0.896, 0.844], [0.789, 0.685, 0.530], [0.056, 0.581, 0.371]], "space_group": "R-3, No. 148", "dft_energy_ev_per_atom": -5.18}

Entry 18:
{"formula": "Tb2Pm3PuTe6", "functional": "PBE-GGA", "state": "relaxed", "cell": [[-0.452, -3.714, 2.320], [8.793, -1.322, -0.403], [-0.923, 7.042, 6.916]], "species": ["Te", "Te", "Pm", "Te", "Pm", "Tb", "Te", "Tb", "Pm", "Pu", "Te", "Te"], "fractional_positions": [[0.670, 0.579, 0.339], [0.666, 0.088, 0.333], [0.834, 0.166, 0.669], [0.999, 0.752, 0.998], [0.166, 0.834, 0.331], [0.164, 0.329, 0.328], [0.001, 0.248, 0.002], [0.836, 0.671, 0.672], [0.500, 0.500, 0.000], [0.500, 0.000, 0.000], [0.334, 0.912, 0.667], [0.330, 0.421, 0.661]], "space_group": "C2/m, No. 12", "dft_energy_ev_per_atom": -6.06, "formation_energy_uncorrected_ev_per_atom": -1.339}

Entry 19:
{"formula": "TbPmPu2Te5", "functional": "PBE-GGA", "state": "relaxed", "cell": [[-2.264, -5.000, -0.807], [4.921, -1.963, -1.642], [2.529, -2.934, 11.087]], "species": ["Tb", "Pu", "Te", "Pm", "Te", "Te", "Te", "Pu", "Te"], "fractional_positions": [[0.000, 0.000, 0.500], [0.500, 0.500, 0.675], [0.000, 0.500, 0.500], [0.000, 0.000, 0.000], [0.000, 0.000, 0.247], [0.000, 0.000, 0.753], [0.500, 0.000, 0.500], [0.500, 0.500, 0.325], [0.500, 0.500, 0.000]], "space_group": "P4/mmm, No. 123", "dft_energy_ev_per_atom": -6.66, "formation_energy_uncorrected_ev_per_atom": -0.691}

Entry 20:
{"formula": "TbPm2PuTe5", "functional": "PBE-GGA", "state": "relaxed", "cell": [[-0.480, -5.301, -1.518], [4.134, -1.354, 3.422], [-7.785, -1.785, 8.697]], "species": ["Te", "Te", "Pm", "Tb", "Te", "Te", "Te", "Pu", "Pm"], "fractional_positions": [[0.000, 0.000, 0.749], [0.000, 0.500, 0.500], [0.500, 0.500, 0.337], [0.000, 0.000, 0.500], [0.000, 0.000, 0.251], [0.500, 0.500, 0.000], [0.500, 0.000, 0.500], [0.000, 0.000, 0.000], [0.500, 0.500, 0.663]], "space_group": "P4/mmm, No. 123", "dft_energy_ev_per_atom": -5.60, "formation_energy_uncorrected_ev_per_atom": -0.695}